(1)
VASP calculation (PBE-GGA) on a geometry-optimized GdPdPb structure.

Lattice parameters (Å, degrees): 4.7668 4.7668 7.2269 90.00 90.00 120.00
Space group P6_3mc (No. 186)
Unique sites:
Gd (0.0000, 0.0000, 0.0000)
Pd (0.3333, 0.6667, 0.3013)
Pb (0.3333, 0.6667, 0.7301)

Output
The total energy comes out at -5.19 eV per atom. Its mass density is 11.00 g/cm3. The volume comes out at 71 Å³/f.u.

(2)
VASP calculation (PBE-GGA) on a geometry-optimized PrGd2Pd3Pb3 structure.

Lattice parameters (Å, degrees): 4.047 13.593 7.817 90.00 90.00 90.00
Space group Amm2 (No. 38)
Unique sites:
Pr (0.000, 0.000, 0.000)
Gd (0.000, 0.203, 0.610)
Pd (0.000, 0.000, 0.412)
Pd (0.500, 0.170, 0.906)
Pb (0.500, 0.000, 0.668)
Pb (0.500, 0.131, 0.278)

Output
The total energy comes out at -5.25 eV per atom. Its mass density is 10.78 g/cm3. The volume comes out at 215 Å³/f.u.

(3)
VASP calculation (PBE-GGA) on a geometry-optimized PrGd2PdPt2Pb3 structure.

Lattice parameters (Å, degrees): 4.029 13.645 7.828 90.00 90.00 90.00
Space group Amm2 (No. 38)
Unique sites:
Pr (0.000, 0.000, 0.000)
Gd (0.000, 0.204, 0.612)
Pd (0.000, 0.000, 0.413)
Pt (0.500, 0.170, 0.907)
Pb (0.500, 0.000, 0.668)
Pb (0.500, 0.130, 0.280)

Output
The total energy comes out at -5.54 eV per atom. Its mass density is 12.14 g/cm3. The volume comes out at 215 Å³/f.u.

(4)
VASP calculation (PBE-GGA) on a geometry-optimized Gd2PdPt3Pb2 structure.

Lattice parameters (Å, degrees): 4.6934 4.6934 9.0829 90.00 90.00 120.00
Space group P3m1 (No. 156)
Unique sites:
Gd (0.0000, 0.0000, 0.0000)
Gd (0.3333, 0.6667, 0.4939)
Pd (0.3333, 0.6667, 0.8355)
Pt (0.0000, 0.0000, 0.3433)
Pt (0.0000, 0.0000, 0.6558)
Pt (0.3333, 0.6667, 0.1475)
Pb (0.6667, 0.3333, 0.2453)
Pb (0.6667, 0.3333, 0.7451)

Output
The total energy comes out at -5.77 eV per atom. Its mass density is 13.61 g/cm3. The volume comes out at 173 Å³/f.u.

(5)
VASP calculation (PBE-GGA) on a geometry-optimized Gd2Pd3PtPb2 structure.

Lattice parameters (Å, degrees): 4.6885 4.6885 9.0043 90.00 90.00 120.00
Space group P3m1 (No. 156)
Unique sites:
Gd (0.0000, 0.0000, 0.0000)
Gd (0.3333, 0.6667, 0.5058)
Pd (0.0000, 0.0000, 0.3397)
Pd (0.3333, 0.6667, 0.1639)
Pd (0.3333, 0.6667, 0.8468)
Pt (0.0000, 0.0000, 0.6577)
Pb (0.6667, 0.3333, 0.2502)
Pb (0.6667, 0.3333, 0.7530)

Output
The total energy comes out at -5.51 eV per atom. Its mass density is 12.04 g/cm3. The volume comes out at 171 Å³/f.u.

(6)
VASP calculation (PBE-GGA) on a geometry-optimized Gd3Pd2PtPb3 structure.

Lattice parameters (Å, degrees): 7.7719 7.7719 4.0263 90.00 90.00 120.00
Space group P-62m (No. 189)
Unique sites:
Gd (0.0000, 0.5998, 0.0000)
Pd (0.3333, 0.6667, 0.5000)
Pt (0.0000, 0.0000, 0.0000)
Pb (0.0000, 0.2645, 0.5000)

Output
The total energy comes out at -5.37 eV per atom. Its mass density is 11.84 g/cm3. The volume comes out at 211 Å³/f.u.

(7)
VASP calculation (PBE-GGA) on a geometry-optimized SmGd2PdPt2Pb3 structure.

Lattice parameters (Å, degrees): 3.998 13.600 7.827 90.00 90.00 90.00
Space group Amm2 (No. 38)
Unique sites:
Sm (0.000, 0.000, 0.000)
Gd (0.000, 0.204, 0.611)
Pd (0.000, 0.000, 0.411)
Pt (0.500, 0.169, 0.906)
Pb (0.500, 0.000, 0.668)
Pb (0.500, 0.130, 0.278)

Output
The total energy comes out at -5.54 eV per atom. Its mass density is 12.35 g/cm3. The volume comes out at 213 Å³/f.u.

(8)
VASP calculation (PBE-GGA) on a geometry-optimized TbGd2PdPt2Pb3 structure.

Lattice parameters (Å, degrees): 3.986 13.481 7.790 90.00 90.00 90.00
Space group Amm2 (No. 38)
Unique sites:
Tb (0.000, 0.000, 0.000)
Gd (0.000, 0.204, 0.389)
Pd (0.000, 0.000, 0.593)
Pt (0.500, 0.166, 0.092)
Pb (0.500, 0.000, 0.332)
Pb (0.500, 0.130, 0.723)

Output
The total energy comes out at -5.53 eV per atom. Its mass density is 12.63 g/cm3. The volume comes out at 209 Å³/f.u.

(9)
VASP calculation (PBE-GGA) on a geometry-optimized Tb2GdPdPt2Pb3 structure.

Lattice parameters (Å, degrees): 3.977 13.489 7.781 90.00 90.00 90.00
Space group Amm2 (No. 38)
Unique sites:
Tb (0.000, 0.204, 0.000)
Gd (0.000, 0.000, 0.389)
Pd (0.000, 0.000, 0.797)
Pt (0.500, 0.167, 0.296)
Pb (0.500, 0.000, 0.057)
Pb (0.500, 0.130, 0.666)

Output
The total energy comes out at -5.53 eV per atom. Its mass density is 12.68 g/cm3. The volume comes out at 209 Å³/f.u.

(10)
VASP calculation (PBE-GGA) on a geometry-optimized Gd2TmPdPt2Pb3 structure.

Lattice parameters (Å, degrees): 3.964 13.422 7.800 90.00 90.00 90.00
Space group Amm2 (No. 38)
Unique sites:
Gd (0.000, 0.204, 0.000)
Tm (0.000, 0.000, 0.611)
Pd (0.000, 0.000, 0.207)
Pt (0.500, 0.164, 0.701)
Pb (0.500, 0.000, 0.943)
Pb (0.500, 0.131, 0.334)

Output
The total energy comes out at -5.50 eV per atom. Its mass density is 12.82 g/cm3. The volume comes out at 207 Å³/f.u.

(11)
VASP calculation (PBE-GGA) on a geometry-optimized GdTm2PdPt2Pb3 structure.

Lattice parameters (Å, degrees): 3.913 13.487 7.728 90.00 90.00 90.00
Space group Amm2 (No. 38)
Unique sites:
Gd (0.000, 0.000, 0.000)
Tm (0.000, 0.203, 0.609)
Pd (0.000, 0.000, 0.410)
Pt (0.500, 0.169, 0.904)
Pb (0.500, 0.000, 0.670)
Pb (0.500, 0.131, 0.275)

Output
The total energy comes out at -5.48 eV per atom. Its mass density is 13.14 g/cm3. The volume comes out at 204 Å³/f.u.

(12)
VASP calculation (PBE-GGA) on a geometry-optimized GdY2PdPt2Pb3 structure.

Lattice parameters (Å, degrees): 3.968 13.480 7.780 90.00 90.00 90.00
Space group Amm2 (No. 38)
Unique sites:
Gd (0.000, 0.000, 0.000)
Y (0.000, 0.203, 0.610)
Pd (0.000, 0.000, 0.407)
Pt (0.500, 0.167, 0.907)
Pb (0.500, 0.000, 0.668)
Pb (0.500, 0.131, 0.276)

Output
The total energy comes out at -5.93 eV per atom. Its mass density is 11.60 g/cm3. The volume comes out at 208 Å³/f.u.

(13)
VASP calculation (PBE-GGA) on a geometry-optimized Gd2YPdPt2Pb3 structure.

Lattice parameters (Å, degrees): 3.983 13.469 7.775 90.00 90.00 90.00
Space group Amm2 (No. 38)
Unique sites:
Gd (0.000, 0.204, 0.000)
Y (0.000, 0.000, 0.611)
Pd (0.000, 0.000, 0.204)
Pt (0.500, 0.166, 0.704)
Pb (0.500, 0.000, 0.943)
Pb (0.500, 0.130, 0.334)

Output
The total energy comes out at -5.73 eV per atom. Its mass density is 12.12 g/cm3. The volume comes out at 209 Å³/f.u.

(14)
VASP calculation (PBE-GGA) on a geometry-optimized GdYPd2Pb structure.

Lattice parameters (Å, degrees): 3.634 4.279 14.963 90.00 90.00 90.00
Space group Amm2 (No. 38)
Unique sites:
Gd (0.000, 0.000, 0.000)
Y (0.000, 0.000, 0.731)
Pd (0.500, 0.000, 0.172)
Pd (0.500, 0.000, 0.557)
Pb (0.500, 0.000, 0.364)

Output
The total energy comes out at -5.85 eV per atom. Its mass density is 9.51 g/cm3. The volume comes out at 116 Å³/f.u.

(15)
VASP calculation (PBE-GGA) on a geometry-optimized PmGdPb structure.

Lattice parameters (Å, degrees): 7.429 7.429 7.429 90.00 90.00 90.00
Space group F-43m (No. 216)
Unique sites:
Pm (0.000, 0.000, 0.000)
Gd (0.000, 0.000, 0.500)
Pb (0.250, 0.250, 0.750)

Output
The relative energy among the computed polymorphs is 0 meV/atom. Its mass density is 8.25 g/cm3. The volume comes out at 102 Å³/f.u.

(16)
VASP calculation (PBE-GGA) on a geometry-optimized PrGdPb2 structure.

Lattice parameters (Å, degrees): 4.499 4.647 11.900 90.00 90.00 90.00
Space group Amm2 (No. 38)
Unique sites:
Pr (0.000, 0.000, 0.000)
Gd (0.500, 0.000, 0.737)
Pb (0.000, 0.000, 0.270)
Pb (0.500, 0.000, 0.465)

Output
The total energy comes out at -4.75 eV per atom. Its mass density is 9.51 g/cm3. The volume comes out at 124 Å³/f.u.

(17)
VASP calculation (PBE-GGA) on a geometry-optimized PrGd2Pb7 structure.

Lattice parameters (Å, degrees): 4.773 25.997 4.753 90.00 90.00 90.00
Space group Cmmm (No. 65)
Unique sites:
Pr (0.000, 0.000, 0.000)
Gd (0.000, 0.189, 0.000)
Pb (0.000, 0.099, 0.500)
Pb (0.000, 0.293, 0.500)
Pb (0.000, 0.402, 0.000)
Pb (0.000, 0.500, 0.500)

Output
The total energy comes out at -4.40 eV per atom. Its mass density is 10.73 g/cm3. The volume comes out at 295 Å³/f.u.

(18)
VASP calculation (PBE-GGA) on a geometry-optimized GdPtPb structure.

Lattice parameters (Å, degrees): 7.341 4.612 8.372 90.00 90.00 90.00
Space group Pnma (No. 62)
Unique sites:
Gd (0.009, 0.250, 0.186)
Pt (0.242, 0.750, 0.406)
Pb (0.165, 0.250, 0.581)

Output
The total energy comes out at -5.60 eV per atom. Its mass density is 13.11 g/cm3. The volume comes out at 71 Å³/f.u.

(19)
VASP calculation (PBE-GGA) on a geometry-optimized GdPtPb structure.

Lattice parameters (Å, degrees): 5.1153 5.1153 6.1033 90.00 90.00 120.00
Space group P6_3/mmc (No. 194)
Unique sites:
Gd (0.3333, 0.6667, 0.2500)
Pt (0.0000, 0.0000, 0.0000)
Pb (0.3333, 0.6667, 0.7500)

Output
The total energy comes out at -5.16 eV per atom. Its mass density is 13.44 g/cm3. The volume comes out at 69 Å³/f.u.

(20)
VASP calculation (PBE-GGA) on a geometry-optimized GdPtPb structure.

Lattice parameters (Å, degrees): 4.7406 4.7406 7.2899 90.00 90.00 120.00
Space group P6_3mc (No. 186)
Unique sites:
Gd (0.0000, 0.0000, 0.0000)
Pt (0.3333, 0.6667, 0.3122)
Pb (0.3333, 0.6667, 0.7307)

Output
The total energy comes out at -5.57 eV per atom. Its mass density is 13.10 g/cm3. The volume comes out at 71 Å³/f.u.

(21)
VASP calculation (PBE-GGA) on a geometry-optimized GdPtPb structure.

Lattice parameters (Å, degrees): 4.8047 4.8047 6.9708 90.00 90.00 120.00
Space group P6_3/mmc (No. 194)
Unique sites:
Gd (0.0000, 0.0000, 0.0000)
Pt (0.3333, 0.6667, 0.2500)
Pb (0.3333, 0.6667, 0.7500)

Output
The total energy comes out at -5.54 eV per atom. Its mass density is 13.33 g/cm3. The volume comes out at 70 Å³/f.u.

(22)
VASP calculation (PBE-GGA) on a geometry-optimized GdTmPt4Pb2 structure.

Lattice parameters (Å, degrees): 4.6510 4.6510 9.0457 90.00 90.00 120.00
Space group P-6m2 (No. 187)
Unique sites:
Gd (0.0000, 0.0000, 0.0000)
Tm (0.3333, 0.6667, 0.5000)
Pt (0.0000, 0.0000, 0.3469)
Pt (0.3333, 0.6667, 0.1565)
Pb (0.6667, 0.3333, 0.2521)

Output
The total energy comes out at -5.86 eV per atom. Its mass density is 14.90 g/cm3. The volume comes out at 169 Å³/f.u.

(23)
VASP calculation (PBE-GGA) on a geometry-optimized Rb4Gd2Pb3 structure.

Lattice parameters (Å, degrees): 10.0606 10.0606 3.7483 90.00 90.00 120.00
Space group P-6 (No. 174)
Unique sites:
Rb (0.0000, 0.0000, 0.0000)
Rb (0.3361, 0.3102, 0.0000)
Gd (0.3333, 0.6667, 0.0000)
Gd (0.6667, 0.3333, 0.5000)
Pb (0.0264, 0.3772, 0.5000)

Output
The total energy comes out at -2.63 eV per atom. Its mass density is 6.46 g/cm3. The volume comes out at 329 Å³/f.u.

(24)
VASP calculation (PBE-GGA) on a geometry-optimized Gd2PbS3 structure.

Lattice parameters (Å, degrees): 3.8994 3.8994 11.5046 90.00 90.00 120.00
Space group P-3m1 (No. 164)
Unique sites:
Gd (0.3333, 0.6667, 0.1470)
Pb (0.0000, 0.0000, 0.5000)
S (0.0000, 0.0000, 0.0000)
S (0.3333, 0.6667, 0.7210)

Output
The total energy comes out at -5.76 eV per atom. Its mass density is 6.77 g/cm3. The volume comes out at 151 Å³/f.u.

(25)
VASP calculation (PBE-GGA) on a geometry-optimized GdPb2S3 structure.

Lattice parameters (Å, degrees): 3.9796 3.9796 11.5201 90.00 90.00 120.00
Space group P-3m1 (No. 164)
Unique sites:
Gd (0.0000, 0.0000, 0.0000)
Pb (0.3333, 0.6667, 0.6622)
S (0.0000, 0.0000, 0.5000)
S (0.3333, 0.6667, 0.1328)

Output
The total energy comes out at -5.12 eV per atom. Its mass density is 7.02 g/cm3. The volume comes out at 158 Å³/f.u.